# 1
Here is crystalline NdScCF2 at its relaxed geometry from OQMD. Energies are from PBE-GGA.

a = 3.593 Å, b = 3.593 Å, c = 6.283 Å
α = 90.00°, β = 90.00°, γ = 120.00°
Atoms (fractional coordinates):
Sc 0.667 0.333 0.776
F 0.333 0.667 0.638
F 0.667 0.333 0.409
C 0.000 0.000 0.976
Nd 0.333 0.667 0.200

# 2
Here is crystalline GdDy2Al3CoCu2 at its relaxed geometry from OQMD. Energies are from PBE-GGA.

a = 4.042 Å, b = 6.955 Å, c = 6.955 Å
α = 119.78°, β = 90.00°, γ = 90.00°
Atoms (fractional coordinates):
Al 0.500 0.226 0.226
Al 0.500 0.001 0.774
Al 0.500 0.774 0.001
Cu 0.500 0.667 0.331
Cu 0.500 0.331 0.667
Dy 0.000 0.000 0.409
Dy 0.000 0.409 0.000
Co 0.000 0.002 0.002
Gd 0.000 0.589 0.589

# 3
Here is crystalline Sc2Al3GaIr2 at its relaxed geometry from OQMD. Energies are from PBE-GGA.

a = 5.234 Å, b = 5.234 Å, c = 6.982 Å
α = 90.20°, β = 90.20°, γ = 46.51°
Atoms (fractional coordinates):
Al 0.642 0.642 0.052
Al 0.353 0.353 0.553
Al 0.643 0.643 0.447
Sc 0.927 0.927 0.248
Sc 0.074 0.074 0.753
Ir 0.786 0.786 0.749
Ir 0.209 0.209 0.248
Ga 0.366 0.366 0.951

# 4
Here is crystalline GdGeIr at its relaxed geometry from OQMD. Energies are from PBE-GGA.

a = 6.941 Å, b = 4.339 Å, c = 7.646 Å
α = 90.00°, β = 90.00°, γ = 90.00°
Atoms (fractional coordinates):
Ge 0.794 0.750 0.108
Ge 0.294 0.750 0.392
Ge 0.706 0.250 0.608
Ge 0.206 0.250 0.892
Ir 0.339 0.250 0.567
Ir 0.661 0.750 0.433
Ir 0.839 0.250 0.933
Ir 0.161 0.750 0.067
Gd 0.504 0.750 0.808
Gd 0.496 0.250 0.192
Gd 0.004 0.750 0.692
Gd 0.996 0.250 0.308

Let's list DFT total energy in order: -7.0713 -4.8462 -6.3895 -6.9531 eV/atom.
Let's list theoretical density in order: 5.654 7.331 7.478 12.175 g/cm³.
Let's list total moment in order: 0.000 0.104 0.016 0.061 μB per cell.